Pm3Dy4Tm8: relaxed, PBE-GGA.

Cell: 11.4754 9.2178 9.2178 Å, 87.97 128.44 128.44°
Positions (direct):
Pm (0.5000, 0.5000, 0.0000)
Pm (0.5000, 0.0000, 0.5000)
Pm (0.5000, 0.5000, 0.5000)
Dy (0.5000, 0.0000, 0.0000)
Dy (0.0000, 0.5000, 0.0000)
Dy (0.0000, 0.0000, 0.0000)
Dy (0.0000, 0.0000, 0.5000)
Tm (0.5302, 0.2625, 0.2625)
Tm (0.0000, 0.6371, 0.3629)
Tm (0.9909, 0.2571, 0.2571)
Tm (0.5000, 0.7541, 0.2459)
Tm (0.5000, 0.2459, 0.7541)
Tm (0.0091, 0.7429, 0.7429)
Tm (0.0000, 0.3629, 0.6371)
Tm (0.4698, 0.7375, 0.7375)

Calculated values
E (eV/atom): -4.1648
Formation enthalpy at 0 K (eV/atom): 0.40

CsTlGaAu: relaxed, PBE-GGA.

Cell: 4.6233 4.6233 7.7516 Å, 107.23 107.23 60.03°
Positions (direct):
Cs (0.4732, 0.4732, 0.2587)
Tl (0.2727, 0.2727, 0.6567)
Ga (0.0107, 0.0107, 0.8720)
Au (0.6740, 0.6740, 0.8617)

Calculated values
E (eV/atom): -2.5522
Formation enthalpy at 0 K (eV/atom): -0.17

Ba3CrOs: relaxed, PBE-GGA.

Cell: 6.0041 6.0041 6.0041 Å, 90.00 90.00 90.00°
Positions (direct):
Cr (0.5000, 0.5000, 0.5000)
Os (0.0000, 0.0000, 0.0000)
Ba (0.0000, 0.5000, 0.0000)
Ba (0.0000, 0.0000, 0.5000)
Ba (0.5000, 0.0000, 0.0000)

Calculated values
E (eV/atom): -4.5155
Formation enthalpy at 0 K (eV/atom): 0.81
Polymorph energy (0 for the lowest one) (meV per atom): 0

BeRuSe2: relaxed, PBE-GGA.

Cell: 7.6961 7.6961 7.6961 Å, 26.27 26.27 26.27°
Positions (direct):
Ru (0.7591, 0.7591, 0.7591)
Se (0.0324, 0.0324, 0.0324)
Se (0.2031, 0.2031, 0.2031)
Be (0.5055, 0.5055, 0.5055)

Calculated values
E (eV/atom): -5.1363
Formation energy without anion corrections (meV/atom): -144

ZrTe2Rh: relaxed, PBE-GGA.

Cell: 7.5570 7.5570 7.5570 Å, 151.84 149.74 41.81°
Positions (direct):
Rh (0.7288, 0.2288, 0.5000)
Te (0.9735, 0.9735, 0.0000)
Te (0.2255, 0.7255, 0.5000)
Zr (0.5722, 0.5722, 0.0000)

Calculated values
E (eV/atom): -6.1218
Formation energy without anion corrections (meV/atom): -576
Polymorph energy (0 for the lowest one) (meV per atom): 146

LiTiAl2: relaxed, PBE-GGA.

Cell: 6.9542 6.9542 5.6337 Å, 51.89 51.89 90.00°
Positions (direct):
Li (0.5000, 0.5000, 0.0000)
Li (0.2500, 0.7500, 0.5000)
Al (0.5981, 0.1250, 0.2500)
Al (0.1519, 0.6250, 0.2500)
Al (0.3750, 0.4019, 0.7500)
Al (0.8750, 0.8481, 0.7500)
Ti (0.0000, 0.0000, 0.0000)
Ti (0.7500, 0.2500, 0.5000)

Calculated values
E (eV/atom): -4.1611
Formation enthalpy at 0 K (eV/atom): 0.16

Nd6Os2RhCl3: relaxed, PBE-GGA.

Cell: 7.0848 7.0848 7.9537 Å, 98.53 98.53 120.04°
Positions (direct):
Nd (0.9314, 0.5925, 0.7938)
Nd (0.7298, 0.7298, 0.2063)
Nd (0.0686, 0.4075, 0.2062)
Nd (0.5925, 0.9314, 0.7938)
Nd (0.2702, 0.2702, 0.7937)
Nd (0.4075, 0.0686, 0.2062)
Os (0.3336, 0.6664, 0.0000)
Os (0.6664, 0.3336, 0.0000)
Rh (0.0000, 0.0000, 0.0000)
Cl (0.1693, 0.8307, 0.5000)
Cl (0.8307, 0.1693, 0.5000)
Cl (0.5000, 0.5000, 0.5000)

Calculated values
E (eV/atom): -6.2213
Formation energy without anion corrections (meV/atom): -892

Li2Y2Cu15: relaxed, PBE-GGA.

Cell: 6.4947 6.4947 6.4947 Å, 82.56 82.56 82.56°
Positions (direct):
Li (0.0938, 0.0938, 0.0938)
Li (0.9062, 0.9062, 0.9062)
Y (0.3455, 0.3455, 0.3455)
Y (0.6545, 0.6545, 0.6545)
Cu (0.5000, 0.0000, 0.0000)
Cu (0.0000, 0.0000, 0.5000)
Cu (0.0000, 0.5000, 0.0000)
Cu (0.0000, 0.6970, 0.3030)
Cu (0.6970, 0.3030, 0.0000)
Cu (0.3030, 0.0000, 0.6970)
Cu (0.3030, 0.6970, 0.0000)
Cu (0.6970, 0.0000, 0.3030)
Cu (0.0000, 0.3030, 0.6970)
Cu (0.1588, 0.6553, 0.6553)
Cu (0.6553, 0.6553, 0.1588)
Cu (0.6553, 0.1588, 0.6553)
Cu (0.8412, 0.3447, 0.3447)
Cu (0.3447, 0.3447, 0.8412)
Cu (0.3447, 0.8412, 0.3447)

Calculated values
E (eV/atom): -4.2604
Formation enthalpy at 0 K (eV/atom): -0.14

Zn2WCl: relaxed, PBE-GGA.

Cell: 8.3899 8.3899 8.3899 Å, 20.88 20.88 20.88°
Positions (direct):
Cl (0.2500, 0.2500, 0.2500)
W (0.7500, 0.7500, 0.7500)
Zn (0.9993, 0.9993, 0.9993)
Zn (0.5007, 0.5007, 0.5007)

Calculated values
E (eV/atom): -4.1814
Formation energy without anion corrections (meV/atom): 155
Polymorph energy (0 for the lowest one) (meV per atom): 0

Sc4Cd3Pd: relaxed, PBE-GGA.

Cell: 3.4500 3.4500 14.1789 Å, 90.00 90.00 90.00°
Positions (direct):
Sc (0.0000, 0.0000, 0.8901)
Sc (0.0000, 0.0000, 0.1099)
Sc (0.0000, 0.0000, 0.3701)
Sc (0.0000, 0.0000, 0.6299)
Pd (0.5000, 0.5000, 0.0000)
Cd (0.5000, 0.5000, 0.2421)
Cd (0.5000, 0.5000, 0.5000)
Cd (0.5000, 0.5000, 0.7579)

Calculated values
E (eV/atom): -4.5912
Formation enthalpy at 0 K (eV/atom): -0.43

PaVRu2: relaxed, PBE-GGA.

Cell: 2.9318 2.9318 9.0454 Å, 80.67 80.67 60.00°
Positions (direct):
Ru (0.7373, 0.7373, 0.7880)
Ru (0.2627, 0.2627, 0.2120)
Pa (0.5000, 0.5000, 0.5000)
V (0.0000, 0.0000, 0.0000)

Calculated values
E (eV/atom): -9.2603
Formation enthalpy at 0 K (eV/atom): 0.03
Polymorph energy (0 for the lowest one) (meV per atom): 374

Pr2MnCu3Ge4: relaxed, PBE-GGA.

Cell: 4.2398 4.2398 10.2236 Å, 90.00 90.00 90.00°
Positions (direct):
Pr (0.5000, 0.0000, 0.2455)
Pr (0.0000, 0.5000, 0.7545)
Mn (0.5000, 0.5000, 0.5000)
Cu (0.0000, 0.0000, 0.5000)
Cu (0.5000, 0.0000, 0.8723)
Cu (0.0000, 0.5000, 0.1277)
Ge (0.5000, 0.5000, 0.0000)
Ge (0.0000, 0.0000, 0.0000)
Ge (0.5000, 0.0000, 0.6335)
Ge (0.0000, 0.5000, 0.3665)

Calculated values
E (eV/atom): -5.4320
Formation enthalpy at 0 K (eV/atom): -0.48

CdInSiF6: relaxed, PBE-GGA.

Cell: 6.3235 6.3238 4.9649 Å, 92.78 87.22 43.41°
Positions (direct):
Cd (0.6598, 0.6599, 0.0557)
In (0.0049, 0.0050, 0.0554)
Si (0.3330, 0.3329, 0.5555)
F (0.0353, 0.4249, 0.4239)
F (0.4247, 0.0355, 0.6871)
F (0.6359, 0.2369, 0.6833)
F (0.0873, 0.5818, 0.8579)
F (0.2371, 0.6357, 0.4279)
F (0.5818, 0.0873, 0.2532)

Calculated values
E (eV/atom): -4.7158
Formation energy without anion corrections (meV/atom): -2460

Ga3GeRh3: relaxed, PBE-GGA.

Cell: 5.5692 5.5692 7.7656 Å, 90.61 90.61 114.98°
Positions (direct):
Ga (0.5632, 0.5632, 0.3402)
Ga (0.1500, 0.8500, 0.5000)
Ga (0.8500, 0.1500, 0.5000)
Ga (0.2218, 0.7782, 0.0000)
Ga (0.7782, 0.2218, 0.0000)
Ga (0.4368, 0.4368, 0.6598)
Ge (0.6984, 0.6984, 0.9449)
Ge (0.3016, 0.3016, 0.0551)
Rh (0.9493, 0.9493, 0.2174)
Rh (0.9385, 0.5060, 0.7356)
Rh (0.5060, 0.9385, 0.7356)
Rh (0.0615, 0.4940, 0.2644)
Rh (0.4940, 0.0615, 0.2644)
Rh (0.0507, 0.0507, 0.7826)

Calculated values
E (eV/atom): -5.5335
Formation enthalpy at 0 K (eV/atom): -0.43
Polymorph energy (0 for the lowest one) (meV per atom): 52

IrC: relaxed, PBE-GGA.

Cell: 3.3130 4.9224 10.0336 Å, 90.00 90.00 90.00°
Positions (direct):
Ir (0.0000, 0.9097, 0.8532)
Ir (0.5000, 0.0903, 0.6468)
Ir (0.5000, 0.0903, 0.3532)
Ir (0.0000, 0.9097, 0.1468)
Ir (0.0000, 0.5913, 0.5000)
Ir (0.5000, 0.4088, 0.0000)
C (0.0000, 0.8549, 0.6482)
C (0.5000, 0.1451, 0.8518)
C (0.5000, 0.1451, 0.1482)
C (0.0000, 0.8549, 0.3518)
C (0.0000, 0.6337, 0.0000)
C (0.5000, 0.3663, 0.5000)

Calculated values
E (eV/atom): -8.3564
Formation enthalpy at 0 K (eV/atom): 0.69
Polymorph energy (0 for the lowest one) (meV per atom): 228

BaTcPt2: relaxed, PBE-GGA.

Cell: 3.7410 2.9465 8.0974 Å, 68.65 90.00 90.00°
Positions (direct):
Ba (0.5000, 0.7500, 0.7500)
Pt (0.0000, 0.9300, 0.0703)
Pt (0.0000, 0.5700, 0.4297)
Tc (0.5000, 0.2500, 0.2500)

Calculated values
E (eV/atom): -6.0865
Formation enthalpy at 0 K (eV/atom): 0.01
Polymorph energy (0 for the lowest one) (meV per atom): 213

Rb3BaV: relaxed, PBE-GGA.

Cell: 7.0734 7.0734 7.0734 Å, 90.00 90.00 90.00°
Positions (direct):
Ba (0.5000, 0.5000, 0.5000)
Rb (0.0000, 0.5000, 0.0000)
Rb (0.0000, 0.0000, 0.5000)
Rb (0.5000, 0.0000, 0.0000)
V (0.0000, 0.0000, 0.0000)

Calculated values
E (eV/atom): -1.9052
Formation enthalpy at 0 K (eV/atom): 0.88

K3La2PrO6: relaxed, PBE-GGA.

Cell: 6.4283 6.4283 6.6595 Å, 99.26 99.26 120.00°
Positions (direct):
K (0.1664, 0.8336, 0.5000)
K (0.8336, 0.1664, 0.5000)
K (0.5000, 0.5000, 0.5000)
La (0.3333, 0.6667, 0.0000)
La (0.6667, 0.3333, 0.0000)
Pr (0.0000, 0.0000, 0.0000)
O (0.9362, 0.6045, 0.8086)
O (0.7321, 0.7321, 0.1912)
O (0.0638, 0.3955, 0.1914)
O (0.6045, 0.9362, 0.8086)
O (0.2679, 0.2679, 0.8088)
O (0.3955, 0.0638, 0.1914)

Calculated values
E (eV/atom): -6.6079
Formation energy without anion corrections (meV/atom): -2635

Sr3Te4Pb: relaxed, PBE-GGA.

Cell: 4.7254 8.1942 8.1942 Å, 70.53 89.99 89.99°
Positions (direct):
Pb (0.5000, 0.5002, 0.9999)
Sr (0.5000, 0.0002, 0.4999)
Sr (0.9999, 0.0001, 0.0001)
Sr (0.9999, 0.5000, 0.5000)
Te (0.0000, 0.7475, 0.7526)
Te (0.5000, 0.7488, 0.2487)
Te (0.0000, 0.2529, 0.2472)
Te (0.4999, 0.2514, 0.7513)

Calculated values
E (eV/atom): -4.0655
Formation energy without anion corrections (meV/atom): -1400
Polymorph energy (0 for the lowest one) (meV per atom): 0

CaTa2Co: relaxed, PBE-GGA.

Cell: 4.7519 4.7519 3.1361 Å, 90.00 90.00 90.00°
Positions (direct):
Ca (0.5000, 0.0000, 0.5000)
Co (0.0000, 0.5000, 0.5000)
Ta (0.0000, 0.0000, 0.0000)
Ta (0.5000, 0.5000, 0.0000)

Calculated values
E (eV/atom): -7.2741
Formation enthalpy at 0 K (eV/atom): 0.93
Polymorph energy (0 for the lowest one) (meV per atom): 712

NdPuHgAu: relaxed, PBE-GGA.

Cell: 3.6978 3.6978 7.6460 Å, 90.00 90.00 90.00°
Positions (direct):
Nd (0.5000, 0.5000, 0.5920)
Pu (0.5000, 0.5000, 0.1205)
Hg (0.0000, 0.0000, 0.8592)
Au (0.0000, 0.0000, 0.3563)

Calculated values
E (eV/atom): -6.0998
Formation enthalpy at 0 K (eV/atom): -0.43
Polymorph energy (0 for the lowest one) (meV per atom): 0

KHIO2: relaxed, PBE-GGA.

Cell: 5.3553 5.3553 7.1777 Å, 90.00 90.00 90.00°
Positions (direct):
I (0.0000, 0.0000, 0.5000)
H (0.5000, 0.5000, 0.5000)
K (0.0000, 0.0000, 0.0000)
O (0.0000, 0.5000, 0.0000)
O (0.5000, 0.0000, 0.0000)

Calculated values
E (eV/atom): -2.2279
Polymorph energy (0 for the lowest one) (meV per atom): 629

Cr5Br: relaxed, PBE-GGA.

Cell: 4.4463 4.4463 4.4489 Å, 90.00 90.00 120.00°
Positions (direct):
Cr (0.6460, 0.0000, 0.0000)
Cr (0.3540, 0.3540, 0.0000)
Cr (0.0000, 0.6460, 0.0000)
Cr (0.6667, 0.3333, 0.5000)
Cr (0.3333, 0.6667, 0.5000)
Br (0.0000, 0.0000, 0.5000)

Calculated values
E (eV/atom): -7.5207
Formation energy without anion corrections (meV/atom): 778
Polymorph energy (0 for the lowest one) (meV per atom): 237

RbScZn3: relaxed, PBE-GGA.

Cell: 5.5024 5.5024 5.5024 Å, 90.00 90.00 90.00°
Positions (direct):
Sc (0.0000, 0.0000, 0.0000)
Zn (0.0000, 0.5000, 0.0000)
Zn (0.0000, 0.0000, 0.5000)
Zn (0.5000, 0.0000, 0.0000)
Rb (0.5000, 0.5000, 0.5000)

Calculated values
E (eV/atom): -1.8222
Formation enthalpy at 0 K (eV/atom): 0.40
Polymorph energy (0 for the lowest one) (meV per atom): 0

LaFePb2: relaxed, PBE-GGA.

Cell: 5.1655 5.1655 5.1655 Å, 60.00 60.00 60.00°
Positions (direct):
Pb (0.2500, 0.2500, 0.2500)
Pb (0.7500, 0.7500, 0.7500)
Fe (0.0000, 0.0000, 0.0000)
La (0.5000, 0.5000, 0.5000)

Calculated values
E (eV/atom): -4.9144
Formation enthalpy at 0 K (eV/atom): 0.29
Polymorph energy (0 for the lowest one) (meV per atom): 310